DFT (PBE) results for Pr8In2Hg after structural relaxation.

a = 10.1448 Å, b = 10.1448 Å, c = 7.0959 Å
α = 104.36°, β = 104.36°, γ = 30.97°
With the nearest neighbours (Å) after each atom.
Sites, in units of the cell vectors:
Pr: 0.0134 0.0134 0.2651  2 Hg 3.23, 1 In 3.33, 3 Pr 3.50-3.56
Pr: 0.2069 0.2069 0.8007  3 In 3.27-3.54, 2 Pr 3.53
Pr: 0.3421 0.3421 0.5257  1 Hg 3.14, 3 In 3.28-3.29, 1 Pr 3.48
Pr: 0.4062 0.4062 0.0311  1 Hg 3.36, 3 Pr 3.48-3.56, 2 In 3.49
Pr: 0.5938 0.5938 0.9689  1 Hg 3.36, 3 Pr 3.48-3.56, 2 In 3.49
Pr: 0.6579 0.6579 0.4743  1 Hg 3.14, 3 In 3.28-3.29, 1 Pr 3.48
Pr: 0.7931 0.7931 0.1993  3 In 3.27-3.54, 2 Pr 3.53
Pr: 0.9866 0.9866 0.7349  2 Hg 3.23, 1 In 3.33, 3 Pr 3.50-3.56
In: 0.1807 0.1807 0.2377  9 Pr 3.27-3.54
In: 0.8193 0.8193 0.7623  9 Pr 3.27-3.54
Hg: 0.5000 0.5000 0.5000  8 Pr 3.14-3.36

Calculated values
ΔH_f (0 K): -0.231 eV per atom
magnetization: 0.000 μB per cell
DFT total energy: -46.6 eV per cell